No. 1
# GePdSO

An optimized crystal structure of GePdSO (PBE, OQMD).

## Properties
Distance to the lowest polymorph of the same formula, eV per atom: 0.425
ρ, g cm⁻³: 5.18

abc: 4.903 4.903 6.057
angles: 90.00 90.00 90.00
Positions (direct):
Pd: 0.250 0.250 0.706
O: 0.750 0.750 0.949
Pd: 0.750 0.750 0.294
O: 0.250 0.250 0.051
S: 0.750 0.250 0.500
S: 0.250 0.750 0.500
Ge: 0.250 0.250 0.325
Ge: 0.750 0.750 0.675


No. 2
# Ho4Ga3Ge

An optimized crystal structure of Ho4Ga3Ge (PBE, OQMD).

## Properties
Uncorrected energy, eV/atom: -4.711
ρ, g cm⁻³: 8.39

abc: 3.997 4.327 10.777
angles: 90.00 90.00 90.00
Positions (direct):
Ho: 0.000 0.000 0.139
Ho: 0.500 0.000 0.861
Ho: 0.000 0.500 0.640
Ho: 0.500 0.500 0.360
Ga: 0.500 0.000 0.580
Ga: 0.000 0.000 0.423
Ge: 0.000 0.500 0.920
Ga: 0.500 0.500 0.078


No. 3
# NaTcBi

An optimized crystal structure of NaTcBi (PBE, OQMD).

## Properties
Distance to the lowest polymorph of the same formula, eV per atom: 0.487
ρ, g cm⁻³: 7.21

abc: 4.755 4.755 4.755
angles: 60.00 60.00 60.00
Positions (direct):
Na: 0.000 0.000 0.000
Bi: 0.250 0.250 0.250
Tc: 0.750 0.750 0.750


No. 4
# Y2TmSb3

An optimized crystal structure of Y2TmSb3 (PBE, OQMD).

## Properties
Uncorrected energy, eV/atom: -6.094
ρ, g cm⁻³: 6.69

abc: 4.369 4.369 10.699
angles: 90.00 90.00 120.00
Positions (direct):
Sb: 0.667 0.333 0.837
Y: 0.333 0.667 0.668
Y: 0.667 0.333 0.332
Sb: 0.333 0.667 0.163
Sb: 0.000 0.000 0.500
Tm: 0.000 0.000 0.000


No. 5
# GdYRe2Si2C

An optimized crystal structure of GdYRe2Si2C (PBE, OQMD).

## Properties
Uncorrected energy, eV/atom: -8.614
ρ, g cm⁻³: 9.39

abc: 5.829 5.829 6.967
angles: 124.72 124.72 40.16
Positions (direct):
Si: 0.858 0.858 0.317
Y: 0.573 0.573 0.300
Gd: 0.427 0.427 0.699
Re: 0.793 0.793 0.909
Re: 0.207 0.207 0.091
C: 0.000 0.000 0.001
Si: 0.142 0.142 0.682


No. 6
# NbCuGe2

An optimized crystal structure of NbCuGe2 (PBE, OQMD).

## Properties
Uncorrected energy, eV/atom: -5.390
ρ, g cm⁻³: 7.66

abc: 4.523 4.523 4.523
angles: 60.00 60.00 60.00
Positions (direct):
Cu: 0.250 0.250 0.250
Ge: 0.750 0.750 0.750
Ge: 0.000 0.000 0.000
Nb: 0.500 0.500 0.500


No. 7
# HoHgIr

An optimized crystal structure of HoHgIr (PBE, OQMD).

## Properties
ρ, g cm⁻³: 12.92
Formation energy, eV/atom: -0.386

abc: 4.662 4.662 4.662
angles: 60.00 60.00 60.00
Positions (direct):
Hg: 0.750 0.750 0.750
Ho: 0.250 0.250 0.250
Ir: 0.000 0.000 0.000


No. 8
# GdDy2Mg3Tl2Cd

An optimized crystal structure of GdDy2Mg3Tl2Cd (PBE, OQMD).

## Properties
Uncorrected energy, eV/atom: -3.009
ρ, g cm⁻³: 7.79

abc: 4.630 7.567 7.567
angles: 120.07 90.00 90.00
Positions (direct):
Mg: 0.500 0.000 0.760
Tl: 0.500 0.667 0.333
Tl: 0.500 0.333 0.667
Dy: 0.000 0.000 0.424
Dy: 0.000 0.424 0.000
Mg: 0.500 0.240 0.240
Mg: 0.500 0.760 0.000
Cd: 0.000 0.000 0.000
Gd: 0.000 0.576 0.576


No. 9
# ZrH4N2F2

An optimized crystal structure of ZrH4N2F2 (PBE, OQMD).

## Properties
Uncorrected energy, eV/atom: -6.104
ρ, g cm⁻³: 3.23

abc: 5.564 5.564 4.919
angles: 106.79 106.79 34.79
Positions (direct):
F: 0.119 0.119 0.752
H: 0.620 0.620 0.463
N: 0.618 0.618 0.253
N: 0.382 0.382 0.747
H: 0.286 0.286 0.752
H: 0.380 0.380 0.537
Zr: 0.000 0.000 0.000
H: 0.714 0.714 0.248
F: 0.881 0.881 0.248


No. 10
# HfMg2

An optimized crystal structure of HfMg2 (PBE, OQMD).

## Properties
Uncorrected energy, eV/atom: -4.105
ρ, g cm⁻³: 5.68

abc: 5.639 9.233 5.104
angles: 90.00 90.00 90.00
Positions (direct):
Hf: 0.036 0.000 0.000
Mg: 0.318 0.662 0.500
Mg: 0.515 0.838 0.000
Mg: 0.515 0.162 0.000
Hf: 0.298 0.000 0.500
Mg: 0.818 0.838 0.500
Mg: 0.015 0.662 0.000
Mg: 0.818 0.162 0.500
Hf: 0.536 0.500 0.000
Hf: 0.798 0.500 0.500
Mg: 0.318 0.338 0.500
Mg: 0.015 0.338 0.000


No. 11
# Mg4Ag3

An optimized crystal structure of Mg4Ag3 (PBE, OQMD).

## Properties
Uncorrected energy, eV/atom: -2.216
ρ, g cm⁻³: 5.25

abc: 7.915 7.915 4.907
angles: 90.00 90.00 60.00
Positions (direct):
Mg: 0.116 0.527 0.500
Mg: 0.143 0.286 0.000
Mg: 0.568 0.166 0.000
Mg: 0.810 0.952 0.500
Ag: 0.280 0.571 0.000
Ag: 0.428 0.863 0.000
Ag: 0.720 0.423 0.000
Mg: 0.384 0.072 0.500
Ag: 0.524 0.375 0.500
Mg: 0.024 0.980 0.000
Mg: 0.837 0.711 0.000
Mg: 0.929 0.258 0.500
Ag: 0.232 0.815 0.500
Ag: 0.672 0.667 0.500


No. 12
# NdZnGa2Cu2

An optimized crystal structure of NdZnGa2Cu2 (PBE, OQMD).

## Properties
Uncorrected energy, eV/atom: -3.650
ρ, g cm⁻³: 7.74

abc: 5.337 5.337 4.126
angles: 90.00 90.00 119.66
Positions (direct):
Zn: 0.500 0.500 0.500
Cu: 0.666 0.334 0.000
Ga: 0.500 0.000 0.500
Ga: 0.000 0.500 0.500
Nd: 0.000 0.000 0.000
Cu: 0.334 0.666 0.000


No. 13
# NbGa2Os2

An optimized crystal structure of NbGa2Os2 (PBE, OQMD).

## Properties
Distance to the lowest polymorph of the same formula, eV per atom: 0.000
ρ, g cm⁻³: 12.51

abc: 3.933 3.933 5.947
angles: 109.31 109.31 90.00
Positions (direct):
Nb: 0.000 0.000 0.000
Os: 0.750 0.250 0.500
Ga: 0.608 0.608 0.216
Ga: 0.392 0.392 0.784
Os: 0.250 0.750 0.500


No. 14
# CsNaPd

An optimized crystal structure of CsNaPd (PBE, OQMD).

## Properties
Uncorrected energy, eV/atom: -1.974
ρ, g cm⁻³: 3.84

abc: 5.435 5.435 5.435
angles: 60.00 60.00 60.00
Positions (direct):
Na: 0.250 0.250 0.250
Pd: 0.750 0.750 0.750
Cs: 0.000 0.000 0.000


No. 15
# TbCo12B6

An optimized crystal structure of TbCo12B6 (PBE, OQMD).

## Properties
Uncorrected energy, eV/atom: -7.190
ρ, g cm⁻³: 8.21

abc: 5.956 5.956 5.956
angles: 104.02 104.02 104.02
Each line ends with the local moment (μB).
Positions (direct):
B: 0.232 0.232 0.677  -0.04
Tb: 0.000 0.000 0.000  -0.10
Co: 0.814 0.544 0.544  0.90
B: 0.232 0.677 0.232  -0.04
Co: 0.544 0.814 0.544  0.90
Co: 0.500 0.868 0.132  0.35
Co: 0.544 0.544 0.814  0.90
B: 0.677 0.232 0.232  -0.04
B: 0.323 0.768 0.768  -0.04
Co: 0.132 0.868 0.500  0.31
Co: 0.456 0.456 0.186  0.90
B: 0.768 0.768 0.323  -0.04
Co: 0.500 0.132 0.868  0.35
Co: 0.868 0.132 0.500  0.31
Co: 0.186 0.456 0.456  0.90
Co: 0.456 0.186 0.456  0.90
Co: 0.868 0.500 0.132  0.33
B: 0.768 0.323 0.768  -0.04
Co: 0.132 0.500 0.868  0.33


No. 16
# K2Ag3S4

An optimized crystal structure of K2Ag3S4 (PBE, OQMD).

## Properties
Uncorrected energy, eV/atom: -3.367
ρ, g cm⁻³: 3.63

abc: 7.734 7.734 5.612
angles: 101.93 101.93 125.75
Positions (direct):
K: 0.182 0.818 0.000
Ag: 0.500 0.500 0.500
S: 0.398 0.154 0.638
Ag: 0.000 0.000 0.500
S: 0.154 0.398 0.638
S: 0.602 0.846 0.362
S: 0.846 0.602 0.362
Ag: 0.500 0.500 0.000
K: 0.818 0.182 0.000


No. 17
# HoSi3Pt4

An optimized crystal structure of HoSi3Pt4 (PBE, OQMD).

## Properties
Uncorrected energy, eV/atom: -6.357
ρ, g cm⁻³: 12.52

abc: 5.872 3.790 6.148
angles: 90.00 93.70 90.00
Positions (direct):
Pt: 0.757 0.500 0.983
Ho: 0.160 0.500 0.325
Pt: 0.147 0.000 0.968
Pt: 0.712 0.500 0.463
Si: 0.885 0.000 0.652
Si: 0.564 0.000 0.173
Si: 0.367 0.500 0.842
Pt: 0.407 0.000 0.594


No. 18
# Er3TmIn2

An optimized crystal structure of Er3TmIn2 (PBE, OQMD).

## Properties
Uncorrected energy, eV/atom: -4.288
ρ, g cm⁻³: 9.13

abc: 5.330 5.330 6.658
angles: 90.00 90.00 120.00
Each line ends with the local moment (μB).
Positions (direct):
Er: 0.667 0.333 0.000  0.07
In: 0.333 0.667 0.000  0.00
Er: 0.000 0.000 0.750  0.11
Tm: 0.333 0.667 0.500  0.08
Er: 0.000 0.000 0.250  0.09
In: 0.667 0.333 0.500  0.00


No. 19
# Dy3Lu

An optimized crystal structure of Dy3Lu (PBE, OQMD).

## Properties
ρ, g cm⁻³: 8.88
Formation energy, eV/atom: 0.006

abc: 5.570 7.169 7.169
angles: 120.00 90.00 90.00
Positions (direct):
Lu: 0.750 0.333 0.167
Dy: 0.750 0.833 0.166
Dy: 0.250 0.667 0.833
Dy: 0.250 0.166 0.833
Lu: 0.250 0.167 0.333
Dy: 0.750 0.334 0.667
Dy: 0.750 0.833 0.667
Dy: 0.250 0.667 0.334


No. 20
# SrNpPt

An optimized crystal structure of SrNpPt (PBE, OQMD).

## Properties
Uncorrected energy, eV/atom: -6.415
ρ, g cm⁻³: 10.25

abc: 4.920 4.920 4.920
angles: 60.00 60.00 60.00
Each line ends with the local moment (μB).
Positions (direct):
Np: 0.000 0.000 0.000  4.35
Sr: 0.750 0.750 0.750  0.22
Pt: 0.250 0.250 0.250  -0.11